4
Lattice="6.637 0.003 -0.003 3.333 5.739 0.003 -4.299 -4.061 3.012" Properties=species:S:1:pos:R:3 comment="KSc2Tl | the Alexandria database | PBE | optimized geometry" formation_enthalpy_0k_mev_per_atom=351 de_polymorph_kj_per_mol_fu=96 dos_ef_per_ev_fu=5.70 dft_energy_ev_per_atom=-3.681 pbc="T T T"
Tl 5.191 2.990 0.000
Sc 9.750 5.616 0.000
Sc 3.501 -0.686 1.504
K 2.182 2.374 1.507

=====

10
Lattice="-6.837 4.402 4.107 -4.688 -7.792 0.546 1.292 -0.583 2.775" Properties=species:S:1:pos:R:3 comment="RbSn2Au2 | the Alexandria database | PBE | optimized geometry" formation_enthalpy_0k_mev_per_atom=-116 de_polymorph_kj_per_mol_fu=77 dos_ef_per_ev_fu=1.78 dft_energy_ev_per_atom=-3.222 pbc="T T T"
Au -2.661 -2.098 0.798
Au -5.117 1.701 2.739
Au -8.864 -1.291 3.855
Au -6.408 -5.091 1.914
Sn -3.331 -4.667 2.320
Sn -7.765 -4.155 4.492
Sn -6.902 0.695 5.108
Sn -2.468 0.182 2.937
Rb 0.000 0.000 0.000
Rb -5.763 -1.695 2.327

=====

9
Lattice="-0.527 -1.793 3.617 3.771 1.083 1.087 -2.796 6.772 2.950" Properties=species:S:1:pos:R:3 comment="Ac2W2N5 | the Alexandria database | PBE | optimized geometry" raw_formation_energy_ev_per_atom=-0.988 de_polymorph_kj_per_mol_fu=0 dos_ef_per_ev_fu=2.21 dft_energy_ev_per_atom=-9.405 pbc="T T T"
Ac 0.000 0.000 0.000
Ac -1.398 3.386 1.475
W -0.466 4.702 4.555
W 0.914 1.360 3.099
N 1.230 2.129 1.235
N 0.224 3.031 3.827
N -0.919 0.690 2.500
N -0.255 5.727 2.802
N -2.404 4.289 4.067